Below is a relaxed CeTh2Si2Rh7 crystal, with properties calculated at the GGA-PBE level.

Cell and atoms, written as CIF:
```
data_CeTh2Si2Rh7
_space_group_name_H-M_alt 'C 1 2/m 1'
_space_group_IT_number 12
_cell_length_a 5.799
_cell_length_b 5.738
_cell_length_c 13.284
_cell_angle_alpha 90.00
_cell_angle_beta 98.11
_cell_angle_gamma 90.00
loop_
_space_group_symop_operation_xyz
'x,y,z'
'-x,-y,-z'
'-x,y,-z'
'x,-y,z'
'x+1/2,y+1/2,z'
'-x+1/2,-y+1/2,-z'
'-x+1/2,y+1/2,-z'
'x+1/2,-y+1/2,z'
loop_
_atom_site_label
_atom_site_type_symbol
_atom_site_fract_x
_atom_site_fract_y
_atom_site_fract_z
Ce1 Ce 0.000 0.000 0.000
Th1 Th 0.104 0.000 0.349
Si1 Si 0.080 0.500 0.252
Rh1 Rh 0.000 0.500 0.000
Rh2 Rh 0.148 0.500 0.430
Rh3 Rh 0.199 0.250 0.838
```

- DOS(E_F): 0.4820 states/eV/atom
- Size of the total moment: 0.00 μB per cell
- Formation energy from raw total energies: -0.92 eV per atom